1.
Material: Tb2PrH
Method: DFT, PBE
State: relaxed

abc: 3.3927 3.3927 8.6691
angles: 90.00 90.00 90.00
Closest atoms and distances in Å follow each position.
Element x y z (fractional)
1 H 0.5000 0.5000 0.0000  8 Tb 2.89
2 Tb 0.0000 0.0000 0.1865  4 H 2.89, 1 Tb 3.23
3 Tb 0.0000 0.0000 0.8135  4 H 2.89, 1 Tb 3.23
4 Pr 0.5000 0.5000 0.5000  4 Pr 3.39, 8 Tb 3.63

Computed properties:
* space-group type: P4/mmm
* magnetization: 0.000 Bohr magnetons per cell
* ΔE to the lowest computed polymorph: 0.1916 eV/atom

***

2.
Material: Hg2PdCl
Method: DFT, PBE
State: relaxed

abc: 4.9814 4.9814 4.9814
angles: 60.00 60.00 60.00
Closest atoms and distances in Å follow each position.
Element x y z (fractional)
1 Hg 0.2500 0.2500 0.2500  4 Cl 3.05, 4 Pd 3.05
2 Hg 0.7500 0.7500 0.7500  4 Pd 3.05, 4 Cl 3.05
3 Pd 0.5000 0.5000 0.5000  8 Hg 3.05
4 Cl 0.0000 0.0000 0.0000  8 Hg 3.05

Computed properties:
* space-group type: Fm-3m
* formation energy without anion corrections: 0.1954 eV/atom
* magnetization: 0.000 Bohr magnetons per cell
* ΔE to the lowest computed polymorph: 0.3090 eV/atom